Record 1
# ScCoRe | Alexandria | PBE-GGA | optimized geometry
# DOS at the Fermi energy in states/eV/cell: 6.36
# ΔH_f (0 K) in eV/f.u.: -0.2
# Energy above the lowest structure with this stoichiometry in kJ/mol of formula units: 66
# E in eV/atom: -8.680
data_ScCoRe
_cell_length_a 2.805
_cell_length_b 2.805
_cell_length_c 11.525
_cell_angle_alpha 90.00
_cell_angle_beta 90.00
_cell_angle_gamma 90.00
_symmetry_space_group_name_H-M 'I 4 m m'
_symmetry_Int_Tables_number 107
_symmetry_space_group_name_Hall 'I 4 -2'
loop_
_atom_site_label
_atom_site_type_symbol
_atom_site_fract_x
_atom_site_fract_y
_atom_site_fract_z
_atom_site_occupancy
Sc1 Sc 0.000 0.000 0.000 1
Co1 Co 0.000 0.000 0.673 1
Re1 Re 0.000 0.000 0.305 1

---

Record 2
# Sc8Co2Re | Alexandria | PBE-GGA | optimized geometry
# DOS at the Fermi energy in states/eV/cell: 19.78
# ΔH_f (0 K) in eV/f.u.: -1.2
# E in eV/atom: -7.136
data_Sc8Co2Re
_cell_length_a 7.926
_cell_length_b 11.486
_cell_length_c 5.083
_cell_angle_alpha 90.00
_cell_angle_beta 105.78
_cell_angle_gamma 90.00
_symmetry_space_group_name_H-M 'C 1 m 1'
_symmetry_Int_Tables_number 8
loop_
_symmetry_equiv_pos_as_xyz
'x,y,z'
'x,-y,z'
'x+1/2,y+1/2,z'
'x+1/2,-y+1/2,z'
loop_
_atom_site_label
_atom_site_type_symbol
_atom_site_fract_x
_atom_site_fract_y
_atom_site_fract_z
_atom_site_occupancy
Sc1 Sc 0.000 0.000 0.000 1
Sc2 Sc 0.049 0.371 0.756 1
Sc3 Sc 0.169 0.128 0.589 1
Sc4 Sc 0.223 0.500 0.359 1
Sc5 Sc 0.357 0.230 0.177 1
Co1 Co 0.363 0.318 0.682 1
Re1 Re 0.360 0.000 0.245 1

---

Record 3
# ScTiCoRe | Alexandria | PBE-GGA | optimized geometry
# DOS at the Fermi energy in states/eV/cell: 17.06
# ΔH_f (0 K) in eV/f.u.: -0.9
# E in eV/atom: -8.677
data_ScTiCoRe
_cell_length_a 6.231
_cell_length_b 6.231
_cell_length_c 6.231
_cell_angle_alpha 90.00
_cell_angle_beta 90.00
_cell_angle_gamma 90.00
_symmetry_space_group_name_H-M 'F -4 3 m'
_symmetry_Int_Tables_number 216
_symmetry_space_group_name_Hall 'F -4 2 3'
loop_
_atom_site_label
_atom_site_type_symbol
_atom_site_fract_x
_atom_site_fract_y
_atom_site_fract_z
_atom_site_occupancy
Sc1 Sc 0.000 0.000 0.000 1
Ti1 Ti 0.000 0.000 0.500 1
Co1 Co 0.250 0.250 0.750 1
Re1 Re 0.250 0.250 0.250 1

---

Record 4
# CoRe2Se | Alexandria | PBE-GGA | optimized geometry
# DOS at the Fermi energy in states/eV/cell: 4.13
# E in eV/atom: -8.571
# Formation energy (no corrections) in eV per atom: 0.301
data_CoRe2Se
_cell_length_a 2.922
_cell_length_b 2.922
_cell_length_c 6.645
_cell_angle_alpha 90.00
_cell_angle_beta 90.00
_cell_angle_gamma 90.00
_symmetry_space_group_name_H-M 'P 4 m m'
_symmetry_Int_Tables_number 99
loop_
_symmetry_equiv_pos_as_xyz
'x,y,z'
'-y,x,z'
'-x,-y,z'
'y,-x,z'
'-x,y,z'
'y,x,z'
'x,-y,z'
'-y,-x,z'
loop_
_atom_site_label
_atom_site_type_symbol
_atom_site_fract_x
_atom_site_fract_y
_atom_site_fract_z
_atom_site_occupancy
Co1 Co 0.000 0.000 0.000 1
Re1 Re 0.000 0.000 0.520 1
Re2 Re 0.500 0.500 0.263 1
Se1 Se 0.500 0.500 0.783 1

---

Copy entry 2 word for word.
# Sc8Co2Re | Alexandria | PBE-GGA | optimized geometry
# DOS at the Fermi energy in states/eV/cell: 19.78
# ΔH_f (0 K) in eV/f.u.: -1.2
# E in eV/atom: -7.136
data_Sc8Co2Re
_cell_length_a 7.926
_cell_length_b 11.486
_cell_length_c 5.083
_cell_angle_alpha 90.00
_cell_angle_beta 105.78
_cell_angle_gamma 90.00
_symmetry_space_group_name_H-M 'C 1 m 1'
_symmetry_Int_Tables_number 8
loop_
_symmetry_equiv_pos_as_xyz
'x,y,z'
'x,-y,z'
'x+1/2,y+1/2,z'
'x+1/2,-y+1/2,z'
loop_
_atom_site_label
_atom_site_type_symbol
_atom_site_fract_x
_atom_site_fract_y
_atom_site_fract_z
_atom_site_occupancy
Sc1 Sc 0.000 0.000 0.000 1
Sc2 Sc 0.049 0.371 0.756 1
Sc3 Sc 0.169 0.128 0.589 1
Sc4 Sc 0.223 0.500 0.359 1
Sc5 Sc 0.357 0.230 0.177 1
Co1 Co 0.363 0.318 0.682 1
Re1 Re 0.360 0.000 0.245 1

---

Repeat the third record exactly.
# ScTiCoRe | Alexandria | PBE-GGA | optimized geometry
# DOS at the Fermi energy in states/eV/cell: 17.06
# ΔH_f (0 K) in eV/f.u.: -0.9
# E in eV/atom: -8.677
data_ScTiCoRe
_cell_length_a 6.231
_cell_length_b 6.231
_cell_length_c 6.231
_cell_angle_alpha 90.00
_cell_angle_beta 90.00
_cell_angle_gamma 90.00
_symmetry_space_group_name_H-M 'F -4 3 m'
_symmetry_Int_Tables_number 216
_symmetry_space_group_name_Hall 'F -4 2 3'
loop_
_atom_site_label
_atom_site_type_symbol
_atom_site_fract_x
_atom_site_fract_y
_atom_site_fract_z
_atom_site_occupancy
Sc1 Sc 0.000 0.000 0.000 1
Ti1 Ti 0.000 0.000 0.500 1
Co1 Co 0.250 0.250 0.750 1
Re1 Re 0.250 0.250 0.250 1

---

Among the records above, which one has the lowest E?
ScCoRe

---

Repeat the fourth record exactly.
# CoRe2Se | Alexandria | PBE-GGA | optimized geometry
# DOS at the Fermi energy in states/eV/cell: 4.13
# E in eV/atom: -8.571
# Formation energy (no corrections) in eV per atom: 0.301
data_CoRe2Se
_cell_length_a 2.922
_cell_length_b 2.922
_cell_length_c 6.645
_cell_angle_alpha 90.00
_cell_angle_beta 90.00
_cell_angle_gamma 90.00
_symmetry_space_group_name_H-M 'P 4 m m'
_symmetry_Int_Tables_number 99
loop_
_symmetry_equiv_pos_as_xyz
'x,y,z'
'-y,x,z'
'-x,-y,z'
'y,-x,z'
'-x,y,z'
'y,x,z'
'x,-y,z'
'-y,-x,z'
loop_
_atom_site_label
_atom_site_type_symbol
_atom_site_fract_x
_atom_site_fract_y
_atom_site_fract_z
_atom_site_occupancy
Co1 Co 0.000 0.000 0.000 1
Re1 Re 0.000 0.000 0.520 1
Re2 Re 0.500 0.500 0.263 1
Se1 Se 0.500 0.500 0.783 1